(1)
! Ba2ScTcS6, relaxed, DFT PBE; values from VASP
&SYSTEM
  ibrav = 0, nat = 10, ntyp = 4
/
ATOMIC_SPECIES
Ba 137.33 Ba.upf
Sc 44.96 Sc.upf
Tc 98.00 Tc.upf
S 32.06 S.upf
CELL_PARAMETERS angstrom
5.9878 -3.4569 0.0000
5.9878 3.4569 0.0000
-3.9922 0.0000 5.6451
ATOMIC_POSITIONS crystal
Ba 0.2500 0.2500 0.2500
Ba 0.7500 0.7500 0.7500
Sc 0.0000 0.0000 0.5000
Tc 0.5000 0.5000 0.0000
S 0.2565 0.2565 0.7548
S 0.2556 0.7427 0.2427
S 0.2573 0.7444 0.7573
S 0.7427 0.2556 0.2427
S 0.7444 0.2573 0.7573
S 0.7435 0.7435 0.2452
! - magnetization (μB/f.u.) = 2.00
! - space-group type = C2/m (12)


(2)
! BaScZnS3, relaxed, DFT PBE; values from VASP
&SYSTEM
  ibrav = 0, nat = 12, ntyp = 4
/
ATOMIC_SPECIES
Ba 137.33 Ba.upf
Sc 44.96 Sc.upf
Zn 65.41 Zn.upf
S 32.06 S.upf
CELL_PARAMETERS angstrom
1.9711 -6.9089 0.0000
1.9711 6.9089 0.0000
0.0000 0.0000 9.9656
ATOMIC_POSITIONS crystal
Ba 0.2501 0.7499 0.7500
Ba 0.7499 0.2501 0.2500
Sc 0.0000 0.0000 0.0000
Sc 0.0000 0.0000 0.5000
Zn 0.4690 0.5310 0.2500
Zn 0.5310 0.4690 0.7500
S 0.0654 0.9346 0.2500
S 0.3731 0.6269 0.0583
S 0.3731 0.6269 0.4417
S 0.6269 0.3731 0.5583
S 0.6269 0.3731 0.9417
S 0.9346 0.0654 0.7500
! - magnetization (μB/f.u.) = 0.54
! - space-group type = Cmcm (63)


(3)
! BaSm2S4, relaxed, DFT PBE; values from VASP
&SYSTEM
  ibrav = 0, nat = 28, ntyp = 3
/
ATOMIC_SPECIES
Ba 137.33 Ba.upf
Sm 150.36 Sm.upf
S 32.06 S.upf
CELL_PARAMETERS angstrom
12.3619 0.0000 0.0000
0.0000 4.1421 0.0000
0.0000 0.0000 14.8126
ATOMIC_POSITIONS crystal
Ba 0.2445 0.2500 0.1599
Ba 0.2555 0.7500 0.6599
Ba 0.7445 0.2500 0.3401
Ba 0.7555 0.7500 0.8401
Sm 0.0733 0.2500 0.3923
Sm 0.0771 0.2500 0.8965
Sm 0.4229 0.7500 0.3965
Sm 0.4267 0.7500 0.8923
Sm 0.5733 0.2500 0.1077
Sm 0.5771 0.2500 0.6035
Sm 0.9229 0.7500 0.1035
Sm 0.9267 0.7500 0.6077
S 0.0190 0.7500 0.7826
S 0.0792 0.2500 0.5793
S 0.1288 0.7500 0.0220
S 0.2093 0.7500 0.3292
S 0.2907 0.2500 0.8292
S 0.3712 0.2500 0.5220
S 0.4208 0.7500 0.0793
S 0.4810 0.2500 0.2826
S 0.5190 0.7500 0.7174
S 0.5792 0.2500 0.9207
S 0.6288 0.7500 0.4780
S 0.7093 0.7500 0.1708
S 0.7907 0.2500 0.6708
S 0.8712 0.2500 0.9780
S 0.9208 0.7500 0.4207
S 0.9810 0.2500 0.2174
! - magnetization (μB/f.u.) = 0.00
! - space-group type = Pnma (62)


Number 1: E_tot -58.6 eV/f.u.. Number 2: E_tot -30.8 eV/f.u.. Number 3: E_tot -42.7 eV/f.u..